## i
# InHg3Pb3

InHg3Pb3 after structural relaxation (GGA-PBE, the Alexandria database).

## Properties
**Magnetic moment**: 0.000 μB/f.u.
**Crystal system**: trigonal
**Volume**: 29.3 Å³ per atom

Structure (POSCAR):
```
InHg3Pb3
1.0
-4.524 -2.049 -3.660
3.915 -4.740 0.513
-2.580 0.558 5.576
In Hg Pb
1 3 3
Cartesian
-0.143 -0.280 0.109
-1.092 -5.234 4.075
-1.979 -6.423 -0.139
-4.943 -4.006 2.171
-0.756 -3.556 -0.764
-3.167 -1.590 1.115
-0.034 -2.588 2.665
```


## ii
# InHg3Pb3

InHg3Pb3 after structural relaxation (GGA-PBE, the Alexandria database).

## Properties
**Magnetic moment**: 0.000 μB/f.u.
**Crystal system**: triclinic
**Volume**: 28.5 Å³ per atom

Structure (POSCAR):
```
InHg3Pb3
1.0
7.942 -1.023 2.689
2.268 8.795 2.895
2.600 5.002 7.667
In Hg Pb
2 6 6
Cartesian
6.808 5.591 3.827
6.001 7.183 9.424
6.926 10.389 9.501
8.711 5.167 8.383
3.188 6.643 7.756
9.622 6.131 5.495
4.098 7.607 4.868
5.884 2.385 3.751
3.359 4.353 4.805
8.476 2.848 5.674
6.906 8.007 6.331
5.903 4.767 6.920
4.333 9.926 7.578
9.450 8.421 8.446
```


## iii
# InHg3Pb3

InHg3Pb3 after structural relaxation (GGA-PBE, the Alexandria database).

## Properties
**Magnetic moment**: 0.000 μB/f.u.
**Crystal system**: cubic
**Volume**: 40.5 Å³ per atom

Structure (POSCAR):
```
InHg3Pb3
1.0
8.278 0.000 0.000
0.000 8.278 0.000
0.000 0.000 8.278
Pb Hg In
6 6 2
Cartesian
0.000 2.070 4.139
0.000 6.209 4.139
4.139 0.000 6.209
6.209 4.139 0.000
4.139 0.000 2.070
2.070 4.139 0.000
2.070 0.000 4.139
0.000 4.139 2.070
4.139 6.209 0.000
6.209 0.000 4.139
0.000 4.139 6.209
4.139 2.070 0.000
4.139 4.139 4.139
0.000 0.000 0.000
```


Which of them is the most stable? Correct choice: ii.


## i
# InHgPb

InHgPb after structural relaxation (GGA-PBE, the Alexandria database).

## Properties
**Magnetic moment**: 0.000 μB/f.u.
**Crystal system**: orthorhombic
**Volume**: 27.9 Å³ per atom

Structure (POSCAR):
```
InHgPb
1.0
5.951 0.120 -0.150
3.110 5.075 0.150
-4.172 -3.222 2.768
Pb Hg In
1 1 1
Cartesian
6.021 3.453 0.000
9.001 5.161 0.000
3.098 1.777 0.000
```


## ii
# InHgPb

InHgPb after structural relaxation (GGA-PBE, the Alexandria database).

## Properties
**Magnetic moment**: 0.000 μB/f.u.
**Crystal system**: trigonal
**Volume**: 28.1 Å³ per atom

Structure (POSCAR):
```
InHgPb
1.0
-2.639 3.913 2.801
-2.392 -4.869 -0.829
1.288 -1.101 2.752
Pb Hg In
1 1 1
Cartesian
-1.617 -2.675 2.213
0.219 -0.187 0.468
-2.345 0.804 2.044
```


Which of them is the most stable? Correct choice: ii.


## i
# InHgPb

InHgPb after structural relaxation (GGA-PBE, the Alexandria database).

## Properties
**Magnetic moment**: 0.000 μB/f.u.
**Crystal system**: triclinic
**Volume**: 28.7 Å³ per atom

Structure (POSCAR):
```
InHgPb
1.0
-2.994 1.291 -0.208
-2.313 -4.675 4.054
3.300 5.244 5.402
In Hg Pb
2 2 2
Cartesian
0.036 2.387 8.312
-2.043 -0.528 0.935
-1.525 -0.107 7.256
-0.483 1.967 1.992
-1.174 2.606 5.150
-0.833 -0.746 4.098
```


## ii
# InHgPb

InHgPb after structural relaxation (GGA-PBE, the Alexandria database).

## Properties
**Magnetic moment**: 0.000 μB/f.u.
**Crystal system**: monoclinic
**Volume**: 28.7 Å³ per atom

Structure (POSCAR):
```
InHgPb
1.0
3.485 0.000 0.000
-1.742 5.273 -0.258
0.000 -1.140 9.416
In Hg Pb
2 2 2
Cartesian
0.000 3.816 2.497
1.742 0.316 6.662
0.000 0.946 3.802
1.742 3.187 5.357
0.000 2.655 8.402
1.742 1.477 0.756
```


Which of them is the most stable? Correct choice: i.


## i
# In7Hg12Pb

In7Hg12Pb after structural relaxation (GGA-PBE, the Alexandria database).

## Properties
**Magnetic moment**: 0.000 μB/f.u.
**Crystal system**: trigonal
**Volume**: 28.3 Å³ per atom

Structure (POSCAR):
```
In7Hg12Pb
1.0
-8.096 1.199 -5.828
1.049 -9.161 3.989
1.885 7.613 6.279
In Hg Pb
7 12 1
Cartesian
-4.990 2.149 2.432
-3.012 -0.091 -1.105
-0.372 2.348 2.156
-2.581 -0.175 2.220
-4.790 -2.698 2.284
-2.150 -0.259 5.545
-0.171 -2.498 2.007
-6.123 4.136 0.336
-5.298 -1.158 -2.911
-2.938 2.860 0.246
-5.713 -0.243 0.371
-0.603 5.309 3.056
-2.465 2.749 4.382
-2.697 -3.098 0.058
-4.559 -5.658 1.384
0.551 -0.106 4.069
-2.223 -3.209 4.194
0.136 0.809 7.351
0.962 -4.485 4.104
0.000 0.000 0.000
```


## ii
# In7Hg12Pb

In7Hg12Pb after structural relaxation (GGA-PBE, the Alexandria database).

## Properties
**Magnetic moment**: 0.000 μB/f.u.
**Crystal system**: cubic
**Volume**: 32.4 Å³ per atom

Structure (POSCAR):
```
In7Hg12Pb
1.0
9.438 0.000 0.000
-3.146 8.898 0.000
-3.146 -4.449 7.706
In Hg Pb
7 12 1
Cartesian
3.146 -2.225 3.853
3.146 4.449 0.000
-3.146 2.225 3.853
-1.573 -2.225 3.853
4.719 0.000 0.000
1.573 2.225 3.853
-1.573 4.449 0.000
0.739 -0.522 3.322
-0.434 6.980 0.904
2.407 4.971 4.384
3.580 -2.531 6.801
2.712 1.742 1.209
5.553 5.760 1.209
0.434 2.707 6.497
-2.407 -1.311 6.497
6.726 -0.176 2.113
-3.580 4.625 5.593
-0.739 2.616 2.113
3.884 1.833 5.593
0.000 0.000 0.000
```


Which of them is the most stable? Correct choice: i.


## i
# In2Hg7Pb2

In2Hg7Pb2 after structural relaxation (GGA-PBE, the Alexandria database).

## Properties
**Magnetic moment**: 0.000 μB/f.u.
**Crystal system**: orthorhombic
**Volume**: 30.6 Å³ per atom

Structure (POSCAR):
```
In2Hg7Pb2
1.0
6.917 -0.003 -0.362
0.003 7.112 0.003
-0.792 -0.003 6.881
In Hg Pb
2 7 2
Cartesian
4.751 7.109 1.679
1.377 -0.003 4.843
6.520 1.972 3.082
2.671 5.132 6.701
-0.392 5.134 3.440
3.457 1.975 -0.179
0.000 0.000 0.000
3.066 5.115 3.260
3.062 1.991 3.262
5.028 3.551 5.352
1.100 3.555 1.170
```


## ii
# In2Hg7Pb2

In2Hg7Pb2 after structural relaxation (GGA-PBE, the Alexandria database).

## Properties
**Magnetic moment**: 0.000 μB/f.u.
**Crystal system**: monoclinic
**Volume**: 27.7 Å³ per atom

Structure (POSCAR):
```
In2Hg7Pb2
1.0
5.250 0.516 2.505
2.653 7.518 1.332
0.110 0.798 8.044
In Hg Pb
2 7 2
Cartesian
3.162 2.447 3.648
4.851 6.385 8.232
3.910 1.466 6.423
2.876 4.125 8.695
4.103 7.366 5.457
5.137 4.707 3.185
2.625 0.258 1.252
2.454 4.794 5.731
5.559 4.038 6.150
0.559 1.985 6.859
7.454 6.847 5.022
```


Which of them is the most stable? Correct choice: ii.


## i
# In2HgPb4

In2HgPb4 after structural relaxation (GGA-PBE, the Alexandria database).

## Properties
**Magnetic moment**: 0.000 μB/f.u.
**Crystal system**: monoclinic
**Volume**: 30.1 Å³ per atom

Structure (POSCAR):
```
In2HgPb4
1.0
3.247 0.000 0.703
0.846 8.280 3.941
-0.047 0.495 8.061
Pb Hg In
4 1 2
Cartesian
0.479 2.624 5.635
3.568 6.150 7.070
1.476 3.829 8.881
2.571 4.946 3.824
0.000 0.000 0.000
1.387 7.498 9.292
2.660 1.276 3.413
```


## ii
# In2HgPb4

In2HgPb4 after structural relaxation (GGA-PBE, the Alexandria database).

## Properties
**Magnetic moment**: 0.000 μB/f.u.
**Crystal system**: orthorhombic
**Volume**: 31.4 Å³ per atom

Structure (POSCAR):
```
In2HgPb4
1.0
-2.424 -6.135 -1.010
6.066 0.821 -2.659
4.447 -3.260 9.137
In Hg Pb
4 2 8
Cartesian
4.015 -1.149 -2.364
-0.373 -4.165 -1.305
5.984 -2.409 2.461
2.104 -6.166 3.008
2.932 -3.472 0.450
5.156 -5.103 5.018
2.636 -4.172 -2.772
1.005 -1.142 -0.897
2.943 -3.006 3.727
5.145 -5.569 1.741
-0.008 -3.950 1.969
4.052 -0.337 0.765
2.031 -5.445 6.158
6.460 -2.103 5.713
```


Which of them is the most stable? Correct choice: i.


## i
# In4HgPb2

In4HgPb2 after structural relaxation (GGA-PBE, the Alexandria database).

## Properties
**Magnetic moment**: 0.000 μB/f.u.
**Crystal system**: orthorhombic
**Volume**: 30.4 Å³ per atom

Structure (POSCAR):
```
In4HgPb2
1.0
7.704 -1.095 0.000
-4.111 6.607 0.000
0.000 0.000 9.177
Pb Hg In
4 2 8
Cartesian
6.311 -0.198 0.000
-2.718 5.710 0.000
6.321 -0.183 4.589
-2.728 5.694 4.589
1.797 2.756 6.883
1.797 2.756 2.294
3.373 1.740 0.000
0.220 3.771 0.000
3.362 1.723 4.589
0.231 3.789 4.589
-2.055 3.303 6.881
3.852 -0.548 6.885
-2.055 3.303 2.296
3.852 -0.548 2.292
```


## ii
# In4HgPb2

In4HgPb2 after structural relaxation (GGA-PBE, the Alexandria database).

## Properties
**Magnetic moment**: 0.000 μB/f.u.
**Crystal system**: orthorhombic
**Volume**: 28.9 Å³ per atom

Structure (POSCAR):
```
In4HgPb2
1.0
3.216 0.000 0.000
0.000 5.777 0.000
0.000 -2.889 10.882
In Hg Pb
4 1 2
Cartesian
1.608 2.889 2.830
0.000 2.889 9.307
1.608 0.000 8.052
0.000 0.000 1.575
0.000 2.889 0.000
1.608 0.000 4.543
1.608 2.889 6.339
```


Which of them is the most stable? Correct choice: ii.


## i
# In2Hg8Pb3

In2Hg8Pb3 after structural relaxation (GGA-PBE, the Alexandria database).

## Properties
**Magnetic moment**: 0.000 μB/f.u.
**Crystal system**: trigonal
**Volume**: 28.8 Å³ per atom

Structure (POSCAR):
```
In2Hg8Pb3
1.0
-2.083 -5.483 1.508
1.930 -2.682 5.075
-8.867 2.277 8.190
In Hg Pb
2 8 3
Cartesian
-0.794 -5.051 4.860
-8.226 -0.837 9.913
-7.465 -4.019 11.555
-1.555 -1.869 3.217
-1.769 -2.540 6.557
-3.777 -3.941 4.772
-2.811 -5.284 7.312
-5.243 -1.946 10.001
-7.251 -3.348 8.216
-6.209 -0.604 7.461
0.000 0.000 0.000
-4.979 -5.429 9.865
-4.041 -0.459 4.908
```


## ii
# In2Hg8Pb3

In2Hg8Pb3 after structural relaxation (GGA-PBE, the Alexandria database).

## Properties
**Magnetic moment**: 0.000 μB/f.u.
**Crystal system**: monoclinic
**Volume**: 28.7 Å³ per atom

Structure (POSCAR):
```
In2Hg8Pb3
1.0
3.515 -0.195 0.633
-0.305 9.863 4.400
-1.943 0.518 10.616
In Hg Pb
2 8 3
Cartesian
1.154 2.802 4.516
0.112 7.385 11.133
2.162 5.866 9.389
-0.896 4.321 6.260
-0.322 1.524 2.207
1.588 8.662 13.442
1.407 5.788 3.827
0.576 1.050 6.978
0.691 9.136 8.671
-0.140 4.399 11.823
1.757 -0.098 0.316
-1.532 2.864 9.056
-0.716 7.518 5.960
```


Which of them is the most stable? Correct choice: ii.


## i
# InHg3Pb

InHg3Pb after structural relaxation (GGA-PBE, the Alexandria database).

## Properties
**Magnetic moment**: 0.000 μB/f.u.
**Crystal system**: monoclinic
**Volume**: 27.4 Å³ per atom

Structure (POSCAR):
```
InHg3Pb
1.0
-1.374 3.065 -0.603
-7.555 -2.250 5.774
-1.949 1.301 11.043
In Hg Pb
2 6 2
Cartesian
-9.673 1.507 15.206
-1.204 0.608 1.007
-3.544 1.827 2.873
-7.334 0.289 13.341
-3.988 0.914 8.897
-6.890 1.202 7.316
-6.267 2.183 10.884
-4.610 -0.068 5.329
-7.915 -0.620 10.051
-2.963 2.735 6.162
```


## ii
# InHg3Pb

InHg3Pb after structural relaxation (GGA-PBE, the Alexandria database).

## Properties
**Magnetic moment**: 0.000 μB/f.u.
**Crystal system**: cubic
**Volume**: 33.8 Å³ per atom

Structure (POSCAR):
```
InHg3Pb
1.0
5.529 0.000 0.000
0.000 5.529 0.000
0.000 0.000 5.529
Pb Hg In
1 3 1
Cartesian
2.764 2.764 2.764
0.000 2.764 0.000
0.000 0.000 2.764
2.764 0.000 0.000
0.000 0.000 0.000
```


Which of them is the most stable? Correct choice: i.


## i
# In4HgPb7

In4HgPb7 after structural relaxation (GGA-PBE, the Alexandria database).

## Properties
**Magnetic moment**: 0.000 μB/f.u.
**Crystal system**: monoclinic
**Volume**: 31.8 Å³ per atom

Structure (POSCAR):
```
In4HgPb7
1.0
6.010 0.000 0.000
3.005 10.005 0.020
3.005 0.446 6.353
In Hg Pb
4 1 7
Cartesian
6.010 2.630 3.950
6.010 7.821 2.423
9.015 7.318 5.492
3.005 3.133 0.881
0.000 0.000 0.000
9.015 9.432 3.069
3.005 1.020 3.304
3.005 6.287 1.910
9.015 4.165 4.463
6.010 5.865 4.949
3.005 0.000 0.000
6.010 4.586 1.424
```


## ii
# In4HgPb7

In4HgPb7 after structural relaxation (GGA-PBE, the Alexandria database).

## Properties
**Magnetic moment**: 0.000 μB/f.u.
**Crystal system**: trigonal
**Volume**: 29.9 Å³ per atom

Structure (POSCAR):
```
In4HgPb7
1.0
3.452 0.000 0.000
-1.726 2.990 0.000
0.000 0.000 34.812
In Hg Pb
4 1 7
Cartesian
0.000 1.993 31.919
1.726 0.997 2.894
0.000 1.993 23.097
1.726 0.997 11.715
0.000 0.000 17.406
0.000 0.000 0.000
0.000 1.993 14.543
1.726 0.997 20.269
0.000 1.993 5.788
1.726 0.997 29.024
0.000 0.000 25.947
0.000 0.000 8.865
```


Which of them is the most stable? Correct choice: ii.